[1]
# GGA-PBE HfNbZnW, relaxed
data_HfNbZnW
_cell_length_a 6.5605
_cell_length_b 6.5605
_cell_length_c 6.5605
_cell_angle_alpha 90.00
_cell_angle_beta 90.00
_cell_angle_gamma 90.00
_symmetry_space_group_name_H-M 'F -4 3 m'
_symmetry_Int_Tables_number 216
_symmetry_space_group_name_Hall 'F -4 2 3'
loop_
_atom_site_label
_atom_site_type_symbol
_atom_site_fract_x
_atom_site_fract_y
_atom_site_fract_z
Hf1 Hf 0.0000 0.0000 0.0000
Nb1 Nb 0.0000 0.0000 0.5000
Zn1 Zn 0.2500 0.2500 0.2500
W1 W 0.2500 0.2500 0.7500
# - formation energy from the elements (meV/atom) = 15.7
# - total magnetization (Bohr magnetons per cell) = 0.00

[2]
# GGA-PBE Y2HfNb, relaxed
data_Y2HfNb
_cell_length_a 7.3857
_cell_length_b 7.3857
_cell_length_c 7.3857
_cell_angle_alpha 90.00
_cell_angle_beta 90.00
_cell_angle_gamma 90.00
_symmetry_space_group_name_H-M 'F m -3 m'
_symmetry_Int_Tables_number 225
_symmetry_space_group_name_Hall '-F 4 2 3'
loop_
_atom_site_label
_atom_site_type_symbol
_atom_site_fract_x
_atom_site_fract_y
_atom_site_fract_z
Y1 Y 0.2500 0.2500 0.2500
Hf1 Hf 0.0000 0.0000 0.0000
Nb1 Nb 0.0000 0.0000 0.5000
# - formation energy from the elements (meV/atom) = 449.0
# - excess energy over the best structure of this formula in the dataset (meV per atom) = 0
# - total magnetization (Bohr magnetons per cell) = 2.52

[3]
# GGA-PBE YHf2Nb2, relaxed
data_YHf2Nb2
_cell_length_a 8.0122
_cell_length_b 8.0122
_cell_length_c 3.5323
_cell_angle_alpha 90.00
_cell_angle_beta 90.00
_cell_angle_gamma 90.00
_symmetry_space_group_name_H-M 'P 4/m b m'
_symmetry_Int_Tables_number 127
_symmetry_space_group_name_Hall '-P 4 2ab'
loop_
_atom_site_label
_atom_site_type_symbol
_atom_site_fract_x
_atom_site_fract_y
_atom_site_fract_z
Y1 Y 0.0000 0.0000 0.0000
Hf1 Hf 0.1327 0.3673 0.0000
Nb1 Nb 0.1561 0.6561 0.5000
# - formation energy from the elements (meV/atom) = 252.7
# - excess energy over the best structure of this formula in the dataset (meV per atom) = 35
# - total magnetization (Bohr magnetons per cell) = 0.00